Record 1
Computed, not measured: crystalline LaMnRu2 at its relaxed geometry at the PBE level of DFT.

The space group is R-3m (No. 166, hexagonal axes) and the conventional cell measures 4.2359, 4.2359 and 15.7576 Å, with angles of 90.00, 90.00 and 120.00 degrees. The inequivalent atoms are La at (0.0000, 0.0000, 0.0000), Mn at (0.0000, 0.0000, 0.5000) and Ru at (0.0000, 0.0000, 0.1914).

The electronic total energy comes out at -96.41 eV/cell. Its calculated formation energy is 0.128 eV/atom. Its calculated density is 8.06 g cm⁻³.



Record 2
Computed, not measured: crystalline K2Zn2As at its relaxed geometry at the PBE level of DFT.

The space group is I4/mmm (No. 139) and the conventional cell measures 3.599, 3.599 and 22.157 Å, with angles of 90.00, 90.00 and 90.00 degrees. The inequivalent atoms are K at (0.000, 0.000, 0.099), Zn at (0.000, 0.500, 0.250) and As at (0.000, 0.000, 0.500).

The electronic total energy comes out at -18.67 eV/cell. The distance to the lowest polymorph of the same formula is 0.35 eV/f.u. Its calculated formation energy is 0.012 eV/atom. Its calculated density is 3.29 g cm⁻³.



The lowest electronic total energy belongs to which entry?
LaMnRu2



calculated formation energy of number 1 (LaMnRu2)?
0.128 eV/atom



electronic total energy of number 1 (LaMnRu2)?
-96.41 eV/cell